Computed, not measured: crystalline RbFePb2O at its relaxed geometry at the PBE+U level of DFT.

## Properties
DOS(E_F) ... 5.80 states/eV per cell
Magnetization ... 0.249 μB per atom
Raw total energy ... -14.41 eV/cell

a = 4.9358 Å, b = 6.2704 Å, c = 4.9358 Å
α = 90.00°, β = 90.00°, γ = 90.00°
Last column: nearest neighbours and their distance in Å.
Fractional positions:
Pb (0.0000, 0.0000, 0.5000)  2 Fe 2.47
Pb (0.5000, 0.0000, 0.0000)  2 Fe 2.47
Fe (0.0000, 0.0000, 0.0000)  4 Pb 2.47
O (0.5000, 0.5000, 0.5000)  4 Rb 3.49
Rb (0.0000, 0.5000, 0.0000)  2 Fe 3.14, 4 O 3.49